1.
Material: LiPb3
Method: DFT, PBE
State: optimized geometry

Lattice parameters (Å, degrees): 6.0271 6.0271 5.7785 78.10 78.10 33.44
With the nearest neighbours (Å) after each atom.
Fractional coordinates of all 4 atoms:
Pb: 0.7408 0.7408 0.7584  3 Li 3.32-3.56, 9 Pb 3.33-3.50
Pb: 0.5000 0.5000 0.5000  4 Li 3.37, 8 Pb 3.43-3.50
Pb: 0.2592 0.2592 0.2416  3 Li 3.32-3.56, 9 Pb 3.33-3.50
Li: 0.0000 0.0000 0.0000  10 Pb 3.32-3.56, 2 Li 3.47

As for the formation enthalpy at 0 K: -10.1 kJ per mole of atoms. Its density is 9.24 Mg/m³. As for the space group: C2/m.

2.
Material: La3CdIn3
Method: DFT, PBE
State: optimized geometry

Lattice parameters (Å, degrees): 4.9447 6.3840 15.1130 83.08 80.58 67.22
With the nearest neighbours (Å) after each atom.
Fractional coordinates of all 14 atoms:
Cd: 0.2474 0.8964 0.6088  4 In 2.87-3.18
La: 0.5933 0.7300 0.0834  7 In 3.36-3.54
La: 0.4067 0.2700 0.9166  7 In 3.36-3.54
In: 0.0326 0.1694 0.7654  1 Cd 2.92, 1 In 3.02
Cd: 0.7526 0.1036 0.3912  4 In 2.87-3.18
La: 0.4547 0.7049 0.3856  7 In 3.39-3.64, 4 Cd 3.41-3.58
La: 0.5453 0.2951 0.6144  7 In 3.39-3.64, 4 Cd 3.41-3.58
In: 0.1292 0.2896 0.4520  3 Cd 2.87-3.18, 1 In 2.94
In: 0.8833 0.1622 0.0712  2 In 2.94-3.02
In: 0.9674 0.8306 0.2346  1 Cd 2.92, 1 In 3.02
In: 0.8708 0.7104 0.5480  3 Cd 2.87-3.18, 1 In 2.94
In: 0.1167 0.8378 0.9288  2 In 2.94-3.02
La: 0.7391 0.7398 0.7820  6 In 3.38-3.53, 2 Cd 3.65
La: 0.2609 0.2602 0.2180  6 In 3.38-3.53, 2 Cd 3.65

As for the formation enthalpy at 0 K: -45.3 kJ per mole of atoms. Its density is 6.70 Mg/m³. As for the space group: C2/m.

3.
Material: La2Tl2Sn
Method: DFT, PBE
State: optimized geometry

Lattice parameters (Å, degrees): 5.1137 5.1137 7.6561 70.49 70.49 90.00
With the nearest neighbours (Å) after each atom.
Fractional coordinates of all 5 atoms:
La: 0.7500 0.2500 0.5000  4 Tl 3.25, 4 La 3.62
Tl: 0.6015 0.6015 0.7970  1 Tl 2.74
Tl: 0.3985 0.3985 0.2030  1 Tl 2.74
Sn: 0.0000 0.0000 0.0000  8 Tl 3.87, 8 La 4.23
La: 0.2500 0.7500 0.5000  4 Tl 3.25, 4 La 3.62

The calculation puts the energy above the most stable polymorph in this dataset at 555 meV/atom. As for the formation enthalpy at 0 K: 7.6 kJ per mole of atoms. Its density is 7.58 Mg/m³. As for the space group: I4/mmm.